A relaxed structure of Mg4Sn5Pd2. Source: the Alexandria database, functional GGA-PBE.

Computed properties:
Symmetry   P2/m (10)
ΔH_f (0 K)   -0.333 eV per atom
DFT total energy   -3.677 eV/atom

Lattice parameters (Å, degrees): 3.3460 7.6444 9.5033 93.09 90.00 90.00
Element x y z (fractional)
Mg (0.5000, 0.7970, 0.1491)
Mg (0.5000, 0.8041, 0.5697)
Mg (0.5000, 0.2030, 0.8509)
Mg (0.5000, 0.1959, 0.4303)
Sn (0.0000, 0.5400, 0.3381)
Sn (0.0000, 0.5000, 0.0000)
Sn (0.0000, 0.4600, 0.6619)
Sn (0.0000, 0.1395, 0.1372)
Sn (0.0000, 0.8605, 0.8628)
Pd (0.0000, 0.0880, 0.6403)
Pd (0.0000, 0.9120, 0.3597)